[1]
TbAlCu4: PBEsol geometry, SCAN.

The structure belongs to space group P-6m2 (No. 187); the cell edges are 5.0853, 5.0853 and 3.9890 Å and the angles 90.00°, 90.00° and 120.00°. The inequivalent atoms are Tb at (0.0000, 0.0000, 0.0000), Al at (0.3333, 0.6667, 0.0000), Cu at (0.5010, 0.0021, 0.5000) and Cu at (0.6667, 0.3333, 0.0000).

The uncorrected energy comes out at -0.7173 hartree per atom. The calculation puts the energy of formation at -299.1 meV/atom.


[2]
TaCoP2: PBEsol geometry, SCAN.

The structure belongs to space group P4/mmm (No. 123); the cell edges are 4.099, 4.099 and 3.031 Å and the angles 90.00°, 90.00° and 90.00°. The inequivalent atoms are Ta at (0.000, 0.000, 0.000), Co at (0.500, 0.500, 0.000) and P at (0.000, 0.500, 0.500).

The uncorrected energy comes out at -0.9692 hartree per atom. The calculation puts the energy of formation at -201.5 meV/atom. The excess energy over the best structure of this formula in the dataset is 0.00 eV/f.u.


[3]
Ca2SbPb: PBEsol geometry, SCAN.

The structure belongs to space group P4/mmm (No. 123); the cell edges are 5.641, 5.641 and 3.556 Å and the angles 90.00°, 90.00° and 90.00°. The inequivalent atoms are Ca at (0.000, 0.500, 0.000), Sb at (0.000, 0.000, 0.500) and Pb at (0.500, 0.500, 0.500).

The uncorrected energy comes out at -1.2439 hartree per atom. The calculation puts the uncorrected formation energy at -292 kJ/mol of formula units. The excess energy over the best structure of this formula in the dataset is 0.16 eV/f.u.


[4]
SrOs2F: PBEsol geometry, SCAN.

The structure belongs to space group Fm-3m (No. 225); the cell edges are 6.513, 6.513 and 6.513 Å and the angles 90.00°, 90.00° and 90.00°. The inequivalent atoms are Sr at (0.000, 0.000, 0.000), Os at (0.250, 0.250, 0.250) and F at (0.000, 0.000, 0.500).

The uncorrected energy comes out at -1.4918 hartree per atom. The calculation puts the uncorrected formation energy at 694 kJ/mol of formula units.


Question: What is the uncorrected energy in the first record?
Answer: -0.7173 hartree per atom